# SiHIrSe2 | Alexandria via LeMat-Bulk | SCAN | single point on PBEsol structure
data_SiHIrSe2
_chemical_formula_sum 'Si1 H1 Ir1 Se2'
_cell_length_a 4.860
_cell_length_b 4.860
_cell_length_c 3.361
_cell_angle_alpha 90.00
_cell_angle_beta 90.00
_cell_angle_gamma 90.00
_symmetry_space_group_name_H-M 'P 4/m m m'
_symmetry_Int_Tables_number 123
_symmetry_space_group_name_Hall '-P 4 2'
loop_
_atom_site_label
_atom_site_type_symbol
_atom_site_fract_x
_atom_site_fract_y
_atom_site_fract_z
_atom_site_occupancy
Si1 Si 0.000 0.000 0.000 1
H1 H 0.500 0.500 0.000 1
Ir1 Ir 0.500 0.500 0.500 1
Se1 Se 0.000 0.500 0.500 1
# Theoretical density   7.9 g/cm³
# DFT total energy   -122.958 eV for the cell shown
# Size of the total moment   0.00 Bohr magnetons per cell

# K2CaAg | Alexandria via LeMat-Bulk | SCAN | single point on PBEsol structure
data_K2CaAg
_chemical_formula_sum 'K2 Ca1 Ag1'
_cell_length_a 3.947
_cell_length_b 3.947
_cell_length_c 10.640
_cell_angle_alpha 90.00
_cell_angle_beta 90.00
_cell_angle_gamma 90.00
_symmetry_space_group_name_H-M 'P 4/m m m'
_symmetry_Int_Tables_number 123
_symmetry_space_group_name_Hall '-P 4 2'
loop_
_atom_site_label
_atom_site_type_symbol
_atom_site_fract_x
_atom_site_fract_y
_atom_site_fract_z
_atom_site_occupancy
K1 K 0.000 0.000 0.186 1
Ca1 Ca 0.500 0.500 0.500 1
Ag1 Ag 0.500 0.500 0.000 1
# Theoretical density   2.3 g/cm³
# Formation energy from the elements   158 meV/atom
# DFT total energy   -57.055 eV for the cell shown
# E above lowest polymorph   163 meV per atom
# Size of the total moment   0.01 Bohr magnetons per cell

# SrCe2Se4 | Alexandria via LeMat-Bulk | SCAN | single point on PBEsol structure
data_SrCe2Se4
_chemical_formula_sum 'Sr4 Ce8 Se16'
_cell_length_a 8.880
_cell_length_b 8.880
_cell_length_c 8.884
_cell_angle_alpha 90.00
_cell_angle_beta 90.00
_cell_angle_gamma 90.00
_symmetry_space_group_name_H-M 'I -4 2 d'
_symmetry_Int_Tables_number 122
_symmetry_space_group_name_Hall 'I -4 2bw'
loop_
_atom_site_label
_atom_site_type_symbol
_atom_site_fract_x
_atom_site_fract_y
_atom_site_fract_z
_atom_site_occupancy
Sr1 Sr 0.000 0.000 0.000 1
Ce1 Ce 0.127 0.750 0.625 1
Se1 Se 0.078 0.671 0.945 1
# Theoretical density   6.5 g/cm³
# DFT total energy   -827.494 eV for the cell shown
# E_form (uncorrected)   -2.165 eV per atom
# Size of the total moment   8.00 Bohr magnetons per cell

# LiCa2Au | Alexandria via LeMat-Bulk | SCAN | single point on PBEsol structure
data_LiCa2Au
_chemical_formula_sum 'Li2 Ca4 Au2'
_cell_length_a 3.636
_cell_length_b 5.072
_cell_length_c 11.291
_cell_angle_alpha 90.00
_cell_angle_beta 90.00
_cell_angle_gamma 90.00
_symmetry_space_group_name_H-M 'I m m 2'
_symmetry_Int_Tables_number 44
loop_
_symmetry_equiv_pos_as_xyz
'x,y,z'
'-x,-y,z'
'-x,y,z'
'x,-y,z'
'x+1/2,y+1/2,z+1/2'
'-x+1/2,-y+1/2,z+1/2'
'-x+1/2,y+1/2,z+1/2'
'x+1/2,-y+1/2,z+1/2'
loop_
_atom_site_label
_atom_site_type_symbol
_atom_site_fract_x
_atom_site_fract_y
_atom_site_fract_z
_atom_site_occupancy
Li1 Li 0.000 0.000 0.000 1
Ca1 Ca 0.000 0.000 0.393 1
Ca2 Ca 0.000 0.500 0.187 1
Au1 Au 0.000 0.500 0.675 1
# Theoretical density   4.5 g/cm³
# Formation energy from the elements   -477 meV/atom
# DFT total energy   -185.562 eV for the cell shown
# Size of the total moment   0.12 Bohr magnetons per cell

# LiCoIr2 | Alexandria via LeMat-Bulk | SCAN | single point on PBEsol structure
data_LiCoIr2
_chemical_formula_sum 'Li2 Co2 Ir4'
_cell_length_a 2.664
_cell_length_b 4.520
_cell_length_c 8.891
_cell_angle_alpha 90.00
_cell_angle_beta 90.00
_cell_angle_gamma 90.00
_symmetry_space_group_name_H-M 'C m m 2'
_symmetry_Int_Tables_number 35
loop_
_symmetry_equiv_pos_as_xyz
'x,y,z'
'-x,-y,z'
'-x,y,z'
'x,-y,z'
'x+1/2,y+1/2,z'
'-x+1/2,-y+1/2,z'
'-x+1/2,y+1/2,z'
'x+1/2,-y+1/2,z'
loop_
_atom_site_label
_atom_site_type_symbol
_atom_site_fract_x
_atom_site_fract_y
_atom_site_fract_z
_atom_site_occupancy
Li1 Li 0.000 0.000 0.000 1
Co1 Co 0.000 0.500 0.249 1
Ir1 Ir 0.000 0.000 0.485 1
Ir2 Ir 0.000 0.500 0.751 1
# Theoretical density   14.0 g/cm³
# Formation energy from the elements   197 meV/atom
# DFT total energy   -322.208 eV for the cell shown
# E above lowest polymorph   258 meV per atom
# Size of the total moment   3.62 Bohr magnetons per cell

# Ba3TiBe | Alexandria via LeMat-Bulk | SCAN | single point on PBEsol structure
data_Ba3TiBe
_chemical_formula_sum 'Ba3 Ti1 Be1'
_cell_length_a 5.918
_cell_length_b 5.918
_cell_length_c 5.918
_cell_angle_alpha 90.00
_cell_angle_beta 90.00
_cell_angle_gamma 90.00
_symmetry_space_group_name_H-M 'P m -3 m'
_symmetry_Int_Tables_number 221
_symmetry_space_group_name_Hall '-P 4 2 3'
loop_
_atom_site_label
_atom_site_type_symbol
_atom_site_fract_x
_atom_site_fract_y
_atom_site_fract_z
_atom_site_occupancy
Ba1 Ba 0.000 0.000 0.500 1
Ti1 Ti 0.000 0.000 0.000 1
Be1 Be 0.500 0.500 0.500 1
# Theoretical density   3.8 g/cm³
# Formation energy from the elements   1098 meV/atom
# DFT total energy   -133.542 eV for the cell shown
# Size of the total moment   1.36 Bohr magnetons per cell

# CsAl2Te | Alexandria via LeMat-Bulk | SCAN | single point on PBEsol structure
data_CsAl2Te
_chemical_formula_sum 'Cs4 Al8 Te4'
_cell_length_a 8.816
_cell_length_b 8.816
_cell_length_c 7.021
_cell_angle_alpha 90.00
_cell_angle_beta 90.00
_cell_angle_gamma 90.00
_symmetry_space_group_name_H-M 'I -4 2 d'
_symmetry_Int_Tables_number 122
_symmetry_space_group_name_Hall 'I -4 2bw'
loop_
_atom_site_label
_atom_site_type_symbol
_atom_site_fract_x
_atom_site_fract_y
_atom_site_fract_z
_atom_site_occupancy
Cs1 Cs 0.000 0.000 0.000 1
Al1 Al 0.194 0.750 0.625 1
Te1 Te 0.000 0.000 0.500 1
# Theoretical density   3.8 g/cm³
# DFT total energy   -359.433 eV for the cell shown
# E_form (uncorrected)   0.177 eV per atom
# Size of the total moment   0.00 Bohr magnetons per cell

# YFeOs | Alexandria via LeMat-Bulk | SCAN | single point on PBEsol structure
data_YFeOs
_chemical_formula_sum 'Y2 Fe2 Os2'
_cell_length_a 2.784
_cell_length_b 3.539
_cell_length_c 10.201
_cell_angle_alpha 90.00
_cell_angle_beta 90.00
_cell_angle_gamma 90.00
_symmetry_space_group_name_H-M 'I m m 2'
_symmetry_Int_Tables_number 44
loop_
_symmetry_equiv_pos_as_xyz
'x,y,z'
'-x,-y,z'
'-x,y,z'
'x,-y,z'
'x+1/2,y+1/2,z+1/2'
'-x+1/2,-y+1/2,z+1/2'
'-x+1/2,y+1/2,z+1/2'
'x+1/2,-y+1/2,z+1/2'
loop_
_atom_site_label
_atom_site_type_symbol
_atom_site_fract_x
_atom_site_fract_y
_atom_site_fract_z
_atom_site_occupancy
Y1 Y 0.000 0.000 0.000 1
Fe1 Fe 0.000 0.000 0.706 1
Os1 Os 0.000 0.000 0.292 1
# Theoretical density   11.1 g/cm³
# Formation energy from the elements   224 meV/atom
# DFT total energy   -234.361 eV for the cell shown
# Size of the total moment   3.44 Bohr magnetons per cell

# ZrNiSb2Te | Alexandria via LeMat-Bulk | SCAN | single point on PBEsol structure
data_ZrNiSb2Te
_chemical_formula_sum 'Zr1 Ni1 Sb2 Te1'
_cell_length_a 4.820
_cell_length_b 4.820
_cell_length_c 5.086
_cell_angle_alpha 90.00
_cell_angle_beta 90.00
_cell_angle_gamma 90.00
_symmetry_space_group_name_H-M 'P 4/m m m'
_symmetry_Int_Tables_number 123
_symmetry_space_group_name_Hall '-P 4 2'
loop_
_atom_site_label
_atom_site_type_symbol
_atom_site_fract_x
_atom_site_fract_y
_atom_site_fract_z
_atom_site_occupancy
Zr1 Zr 0.000 0.000 0.000 1
Ni1 Ni 0.500 0.500 0.500 1
Sb1 Sb 0.000 0.500 0.500 1
Te1 Te 0.500 0.500 0.000 1
# Theoretical density   7.3 g/cm³
# DFT total energy   -157.291 eV for the cell shown
# E_form (uncorrected)   0.271 eV per atom
# Size of the total moment   0.01 Bohr magnetons per cell

# SrBeBr2 | Alexandria via LeMat-Bulk | SCAN | single point on PBEsol structure
data_SrBeBr2
_chemical_formula_sum 'Sr1 Be1 Br2'
_cell_length_a 4.037
_cell_length_b 4.037
_cell_length_c 6.186
_cell_angle_alpha 90.00
_cell_angle_beta 90.00
_cell_angle_gamma 90.00
_symmetry_space_group_name_H-M 'P 4 m m'
_symmetry_Int_Tables_number 99
loop_
_symmetry_equiv_pos_as_xyz
'x,y,z'
'-y,x,z'
'-x,-y,z'
'y,-x,z'
'-x,y,z'
'y,x,z'
'x,-y,z'
'-y,-x,z'
loop_
_atom_site_label
_atom_site_type_symbol
_atom_site_fract_x
_atom_site_fract_y
_atom_site_fract_z
_atom_site_occupancy
Sr1 Sr 0.000 0.000 0.000 1
Be1 Be 0.500 0.500 0.364 1
Br1 Br 0.000 0.000 0.466 1
Br2 Br 0.500 0.500 0.757 1
# Theoretical density   4.2 g/cm³
# DFT total energy   -68.611 eV for the cell shown
# E above lowest polymorph   213 meV per atom
# E_form (uncorrected)   -0.766 eV per atom
# Size of the total moment   0.00 Bohr magnetons per cell